Entry 1:
Computed, not measured: crystalline CaTc3Os at its relaxed geometry at the PBE level of DFT.

Summary:
Energy of formation, eV/f.u.: 14.08
ΔE to the lowest computed polymorph, meV per atom: 1621
Energy, eV per atom: -6.05

a = 4.448 Å, b = 4.448 Å, c = 4.448 Å
α = 90.00°, β = 90.00°, γ = 90.00°
Space group Pm-3m (No. 221)
Unique sites:
Ca 0.000 0.000 0.000
Tc 0.000 0.000 0.500
Os 0.500 0.500 0.500

Entry 2:
Computed, not measured: crystalline TePb4 at its relaxed geometry at the PBE level of DFT.

Summary:
ΔE_f (raw), eV per atom: 0.42
ΔE to the lowest computed polymorph, meV per atom: 431
Energy, eV per atom: -3.17

a = 5.981 Å, b = 5.981 Å, c = 5.981 Å
α = 90.00°, β = 90.00°, γ = 90.00°
Space group Pm-3m (No. 221)
Unique sites:
Te 0.000 0.000 0.000
Pb 0.000 0.000 0.500
Pb 0.500 0.500 0.500

Entry 3:
Computed, not measured: crystalline LaTbDy2Ho4 at its relaxed geometry at the PBE level of DFT.

Summary:
Energy of formation, eV/f.u.: 0.03
Energy, eV per atom: -4.63

a = 7.145 Å, b = 7.146 Å, c = 11.504 Å
α = 90.01°, β = 90.03°, γ = 119.85°
Space group P1 (No. 1)
Unique sites:
La 0.000 0.000 0.000
La 0.500 0.500 0.000
Tb 0.000 0.000 0.500
Tb 0.000 0.500 0.000
Dy 0.000 0.500 0.500
Dy 0.500 0.000 0.000
Dy 0.500 0.000 0.500
Dy 0.500 0.500 0.500
Ho 0.167 0.333 0.747
Ho 0.167 0.833 0.747
Ho 0.333 0.167 0.252
Ho 0.333 0.667 0.252
Ho 0.667 0.333 0.747
Ho 0.667 0.833 0.747
Ho 0.833 0.167 0.252
Ho 0.833 0.667 0.252

Entry 4:
Computed, not measured: crystalline MnFe2Co at its relaxed geometry at the PBE level of DFT.

Summary:
Energy of formation, eV/f.u.: 0.17
Energy, eV per atom: -8.26

a = 2.815 Å, b = 4.019 Å, c = 4.037 Å
α = 90.00°, β = 90.00°, γ = 90.00°
Space group Pmmm (No. 47)
Unique sites:
Mn 0.000 0.000 0.000
Fe 0.000 0.500 0.500
Fe 0.500 0.000 0.500
Co 0.500 0.500 0.000